Here is a PBEsol-optimized structure of BaCo2Au2 from Alexandria. Energies are from SCAN.

Values from the calculation:
DFT total energy (eV/cell): -424.75
M_tot (μB/f.u.): 4.02
E_form (kJ/mol of atoms): 2

Cell and atoms, written as CIF:
```
data_BaCo2Au2
_chemical_formula_sum 'Ba2 Co4 Au4'
_space_group_name_H-M_alt 'I 4/m m m'
_space_group_IT_number 139
_space_group_name_Hall '-I 4 2'
_cell_length_a 4.4094
_cell_length_b 4.4094
_cell_length_c 10.0834
_cell_angle_alpha 90.00
_cell_angle_beta 90.00
_cell_angle_gamma 90.00
loop_
_atom_site_label
_atom_site_fract_x
_atom_site_fract_y
_atom_site_fract_z
Ba1 0.0000 0.0000 0.0000
Co1 0.0000 0.0000 0.3925
Au1 0.0000 0.5000 0.2500
```

=====

Here is a PBEsol-optimized structure of VFeCoSi from Alexandria. Energies are from SCAN.

Values from the calculation:
DFT total energy (eV/cell): -259.65
M_tot (μB/f.u.): 1.99

Cell and atoms, written as CIF:
```
data_VFeCoSi
_chemical_formula_sum 'V4 Fe4 Co4 Si4'
_space_group_name_H-M_alt 'F -4 3 m'
_space_group_IT_number 216
_space_group_name_Hall 'F -4 2 3'
_cell_length_a 5.5789
_cell_length_b 5.5789
_cell_length_c 5.5789
_cell_angle_alpha 90.00
_cell_angle_beta 90.00
_cell_angle_gamma 90.00
loop_
_atom_site_label
_atom_site_fract_x
_atom_site_fract_y
_atom_site_fract_z
V1 0.0000 0.0000 0.0000
Fe1 0.2500 0.2500 0.7500
Co1 0.2500 0.2500 0.2500
Si1 0.0000 0.0000 0.5000
```

=====

Here is a PBEsol-optimized structure of Cu3TcN from Alexandria. Energies are from SCAN.

Values from the calculation:
Polymorph energy (0 for the lowest one) (eV per atom): 1.784
DFT total energy (eV/cell): -77.51
M_tot (μB/f.u.): 3.78

Cell and atoms, written as CIF:
```
data_Cu3TcN
_chemical_formula_sum 'Cu3 Tc1 N1'
_space_group_name_H-M_alt 'P m -3 m'
_space_group_IT_number 221
_space_group_name_Hall '-P 4 2 3'
_cell_length_a 4.5645
_cell_length_b 4.5645
_cell_length_c 4.5645
_cell_angle_alpha 90.00
_cell_angle_beta 90.00
_cell_angle_gamma 90.00
loop_
_atom_site_label
_atom_site_fract_x
_atom_site_fract_y
_atom_site_fract_z
Cu1 0.0000 0.0000 0.5000
Tc1 0.0000 0.0000 0.0000
N1 0.5000 0.5000 0.5000
```

=====

Here is a PBEsol-optimized structure of CsGdO2 from Alexandria. Energies are from SCAN.

Values from the calculation:
DFT total energy (eV/cell): -240.75
M_tot (μB/f.u.): 7.00

Cell and atoms, written as CIF:
```
data_CsGdO2
_chemical_formula_sum 'Cs2 Gd2 O4'
_space_group_name_H-M_alt 'P 63/m m c'
_space_group_IT_number 194
_space_group_name_Hall '-P 6c 2c'
_cell_length_a 3.5590
_cell_length_b 3.5590
_cell_length_c 13.5223
_cell_angle_alpha 90.00
_cell_angle_beta 90.00
_cell_angle_gamma 120.00
loop_
_atom_site_label
_atom_site_fract_x
_atom_site_fract_y
_atom_site_fract_z
Cs1 0.3333 0.6667 0.2500
Gd1 0.0000 0.0000 0.0000
O1 0.3333 0.6667 0.5840
```